(1)
Hf2AgPd4: relaxed, GGA-PBE.

Calculated values
As for the density of states at the Fermi level: 0.529 states/eV per atom. For the energy, the calculation gives -5.856 eV per atom. As for the magnetization: 0.00 μB per cell. The calculation puts the polymorph energy (0 for the lowest one) at 808 meV per atom. The symmetry is I4/mmm (139). The formation energy comes out at 363 meV per atom.

The structure in POSCAR format:
```
Hf2AgPd4
1.0
-2.438 2.438 6.580
2.438 -2.438 6.580
2.438 2.438 -6.580
Hf Ag Pd
2 1 4
direct
0.113 0.113 0.000
0.887 0.887 0.000
0.500 0.500 0.000
0.000 0.500 0.500
0.298 0.298 0.000
0.500 0.000 0.500
0.702 0.702 0.000
```

(2)
SnHgRh: relaxed, GGA-PBE.

Calculated values
As for the density of states at the Fermi level: 0.596 states/eV per atom. For the energy, the calculation gives -3.996 eV per atom. As for the magnetization: 0.00 μB per cell. The symmetry is F-43m (216). The formation energy comes out at -111 meV per atom.

The structure in POSCAR format:
```
SnHgRh
1.0
0.000 3.196 3.196
3.196 0.000 3.196
3.196 3.196 0.000
Sn Hg Rh
1 1 1
direct
0.000 0.000 0.000
0.500 0.500 0.500
0.750 0.750 0.750
```

(3)
KLi4Pu3O12: relaxed, GGA-PBE.

Calculated values
The raw formation energy is -2.270 eV/atom. As for the density of states at the Fermi level: 0.487 states/eV per atom. For the energy, the calculation gives -7.832 eV per atom. As for the magnetization: 5.00 μB per cell. The symmetry is R32 (155).

The structure in POSCAR format:
```
KLi4Pu3O12
1.0
5.706 3.294 2.688
-5.706 3.294 2.688
0.000 -6.589 2.688
K Li Pu O
1 4 3 12
direct
0.000 0.000 0.000
0.065 0.500 0.935
0.500 0.500 0.500
0.500 0.935 0.065
0.935 0.065 0.500
0.000 0.562 0.438
0.438 0.000 0.562
0.562 0.438 0.000
0.046 0.632 0.736
0.106 0.894 0.500
0.264 0.368 0.954
0.333 0.667 0.500
0.368 0.954 0.264
0.500 0.106 0.894
0.500 0.333 0.667
0.632 0.736 0.046
0.667 0.500 0.333
0.736 0.046 0.632
0.894 0.500 0.106
0.954 0.264 0.368
```

(4)
Tl5InI6: relaxed, GGA-PBE.

Calculated values
The raw formation energy is -0.630 eV/atom. As for the density of states at the Fermi level: 0.000 states/eV per atom. For the energy, the calculation gives -2.619 eV per atom. As for the magnetization: 0.00 μB per cell. The symmetry is C2/m (12).

The structure in POSCAR format:
```
Tl5InI6
1.0
4.340 -7.513 0.000
4.340 7.513 0.000
-2.890 0.000 8.182
Tl In I
5 1 6
direct
0.000 0.000 0.000
0.166 0.834 0.500
0.332 0.668 0.000
0.668 0.332 0.000
0.834 0.166 0.500
0.500 0.500 0.500
0.086 0.417 0.251
0.252 0.252 0.750
0.417 0.086 0.251
0.583 0.914 0.749
0.748 0.748 0.250
0.914 0.583 0.749
```

(5)
Nd4SnTe2: relaxed, GGA-PBE.

Calculated values
The raw formation energy is -0.983 eV/atom. As for the density of states at the Fermi level: 0.900 states/eV per atom. For the energy, the calculation gives -5.177 eV per atom. As for the magnetization: 0.00 μB per cell. The symmetry is Fddd (70).

The structure in POSCAR format:
```
Nd4SnTe2
1.0
0.000 7.006 7.016
4.840 0.000 7.016
4.840 7.006 0.000
Nd Sn Te
8 2 4
direct
0.123 0.316 0.317
0.256 0.683 0.684
0.316 0.123 0.744
0.317 0.744 0.123
0.683 0.256 0.877
0.684 0.877 0.256
0.744 0.317 0.316
0.877 0.684 0.683
0.375 0.375 0.375
0.625 0.625 0.625
0.000 0.000 0.000
0.000 0.000 0.500
0.000 0.500 0.000
0.500 0.000 0.000
```

(6)
TbPr2NdEr: relaxed, GGA-PBE.

Calculated values
As for the density of states at the Fermi level: 1.182 states/eV per atom. For the energy, the calculation gives -4.438 eV per atom. As for the magnetization: 0.00 μB per cell. The symmetry is P2/c (13). The formation energy comes out at 266 meV per atom.

The structure in POSCAR format:
```
TbPr2NdEr
1.0
8.260 0.000 0.000
0.000 6.808 0.000
-0.022 0.000 6.235
Tb Pr Nd Er
2 4 2 2
direct
0.000 0.079 0.250
0.000 0.921 0.750
0.305 0.192 0.749
0.305 0.808 0.249
0.695 0.192 0.751
0.695 0.808 0.251
0.000 0.500 0.000
0.000 0.500 0.500
0.500 0.345 0.250
0.500 0.655 0.750
```

(7)
MnTlAu2: relaxed, GGA-PBE.

Calculated values
As for the density of states at the Fermi level: 0.331 states/eV per atom. For the energy, the calculation gives -4.403 eV per atom. As for the magnetization: 4.15 μB per cell. The calculation puts the polymorph energy (0 for the lowest one) at 97 meV per atom. The symmetry is C2/m (12). The formation energy comes out at 119 meV per atom.

The structure in POSCAR format:
```
MnTlAu2
1.0
4.314 -1.723 0.000
4.314 1.723 0.000
-1.254 0.000 5.510
Mn Tl Au
1 1 2
direct
0.000 0.000 0.000
0.500 0.500 0.500
0.266 0.266 0.794
0.734 0.734 0.206
```

(8)
CoSbTe2Ru: relaxed, GGA-PBE.

Calculated values
The raw formation energy is 0.973 eV/atom. As for the density of states at the Fermi level: 1.721 states/eV per atom. For the energy, the calculation gives -4.384 eV per atom. As for the magnetization: 1.93 μB per cell. The calculation puts the polymorph energy (0 for the lowest one) at 101 meV per atom. The symmetry is P4/mmm (123).

The structure in POSCAR format:
```
CoSbTe2Ru
1.0
5.270 0.000 0.000
0.000 5.270 0.000
0.000 0.000 4.957
Co Sb Te Ru
1 1 2 1
direct
0.000 0.000 0.000
0.500 0.500 0.000
0.000 0.500 0.500
0.500 0.000 0.500
0.500 0.500 0.500
```